Computed, not measured: an optimized crystal structure of RbCeCoO4 at the PBE+U level of DFT.

The total energy comes out at -92.64 eV for the cell shown.

The space group is P2_1/m (No. 11) and the conventional cell measures 5.6706, 5.8585 and 7.6559 Å, with angles of 90.00, 104.07 and 90.00 degrees. The asymmetric unit holds Rb at (0.1495, 0.2500, 0.1017), Ce at (0.1944, 0.7500, 0.4711), Co at (0.3709, 0.2500, 0.6955), O at (0.1394, 0.0154, 0.6785), O at (0.3111, 0.7500, 0.2014) and O at (0.4166, 0.2500, 0.4533).